1.
## RbTaSbTe2 (PBE)

Data for a relaxed structure of RbTaSbTe2.

a = 5.541 Å, b = 5.541 Å, c = 5.490 Å
α = 90.00°, β = 90.00°, γ = 90.00°
Fractional coordinates of all 5 atoms:
Sb (0.000, 0.000, 0.500)
Ta (0.000, 0.000, 0.000)
Rb (0.500, 0.500, 0.500)
Te (0.500, 0.000, 0.000)
Te (0.000, 0.500, 0.000)

Values from the calculation:
- energy relative to the lowest polymorph listed for this composition (meV per atom) = 0
- final energy (Ry/atom) = -0.35598
- density of states at the Fermi level (states/eV/atom) = 0.243

2.
## RbTaSbTe2 (PBE)

Data for a relaxed structure of RbTaSbTe2.

a = 5.900 Å, b = 5.900 Å, c = 5.714 Å
α = 90.00°, β = 90.00°, γ = 90.00°
Fractional coordinates of all 5 atoms:
Rb (0.000, 0.000, 0.000)
Ta (0.500, 0.500, 0.500)
Sb (0.000, 0.000, 0.500)
Te (0.000, 0.500, 0.000)
Te (0.500, 0.000, 0.000)

Values from the calculation:
- energy relative to the lowest polymorph listed for this composition (meV per atom) = 2344
- final energy (Ry/atom) = -0.18371
- density of states at the Fermi level (states/eV/atom) = 1.968

3.
## RbTbSb2 (PBE)

Data for a relaxed structure of RbTbSb2.

a = 4.772 Å, b = 4.772 Å, c = 8.469 Å
α = 73.63°, β = 73.63°, γ = 60.00°
Fractional coordinates of all 4 atoms:
Rb (0.500, 0.500, 0.500)
Sb (0.275, 0.275, 0.176)
Sb (0.725, 0.725, 0.824)
Tb (0.000, 0.000, 0.000)

Values from the calculation:
- final energy (Ry/atom) = -0.29008
- density of states at the Fermi level (states/eV/atom) = 0.877

4.
## Rb2TbSbTe4 (PBE)

Data for a relaxed structure of Rb2TbSbTe4.

a = 4.546 Å, b = 7.927 Å, c = 8.916 Å
α = 106.99°, β = 90.00°, γ = 90.00°
Fractional coordinates of all 8 atoms:
Sb (0.000, 0.000, 0.000)
Te (0.500, 0.232, 0.197)
Te (0.500, 0.768, 0.803)
Te (0.000, 0.266, 0.802)
Te (0.000, 0.734, 0.198)
Tb (0.500, 0.500, 0.000)
Rb (0.500, 0.000, 0.500)
Rb (0.000, 0.500, 0.500)

Values from the calculation:
- final energy (Ry/atom) = -0.28358

5.
## Rb3TbSb2Te6 (PBE)

Data for a relaxed structure of Rb3TbSb2Te6.

a = 7.897 Å, b = 7.897 Å, c = 8.937 Å
α = 98.47°, β = 98.47°, γ = 120.00°
Fractional coordinates of all 12 atoms:
Rb (0.500, 0.500, 0.500)
Rb (0.167, 0.833, 0.500)
Rb (0.833, 0.167, 0.500)
Te (0.731, 0.731, 0.197)
Te (0.600, 0.934, 0.803)
Te (0.400, 0.066, 0.197)
Te (0.066, 0.400, 0.197)
Te (0.269, 0.269, 0.803)
Te (0.934, 0.600, 0.803)
Sb (0.333, 0.667, 0.000)
Sb (0.667, 0.333, 0.000)
Tb (0.000, 0.000, 0.000)

Values from the calculation:
- final energy (Ry/atom) = -0.27143

6.
## Rb3Tb2SbTe6 (PBE)

Data for a relaxed structure of Rb3Tb2SbTe6.

a = 7.897 Å, b = 7.897 Å, c = 8.923 Å
α = 98.48°, β = 98.48°, γ = 120.00°
Fractional coordinates of all 12 atoms:
Rb (0.167, 0.833, 0.500)
Rb (0.500, 0.500, 0.500)
Rb (0.833, 0.167, 0.500)
Sb (0.000, 0.000, 0.000)
Te (0.398, 0.066, 0.198)
Te (0.734, 0.734, 0.198)
Te (0.266, 0.266, 0.802)
Te (0.602, 0.934, 0.802)
Te (0.934, 0.602, 0.802)
Te (0.066, 0.398, 0.198)
Tb (0.333, 0.667, 0.000)
Tb (0.667, 0.333, 0.000)

Values from the calculation:
- final energy (Ry/atom) = -0.29588
- density of states at the Fermi level (states/eV/atom) = 0.000

7.
## RbTcSb3 (PBE)

Data for a relaxed structure of RbTcSb3.

a = 5.351 Å, b = 5.351 Å, c = 5.351 Å
α = 90.00°, β = 90.00°, γ = 90.00°
Fractional coordinates of all 5 atoms:
Sb (0.000, 0.500, 0.000)
Sb (0.500, 0.000, 0.000)
Sb (0.000, 0.000, 0.500)
Rb (0.500, 0.500, 0.500)
Tc (0.000, 0.000, 0.000)

Values from the calculation:
- energy relative to the lowest polymorph listed for this composition (meV per atom) = 0
- final energy (Ry/atom) = -0.33119
- density of states at the Fermi level (states/eV/atom) = 0.846

8.
## Rb3TcSb (PBE)

Data for a relaxed structure of Rb3TcSb.

a = 7.018 Å, b = 7.018 Å, c = 7.018 Å
α = 90.00°, β = 90.00°, γ = 90.00°
Fractional coordinates of all 5 atoms:
Sb (0.000, 0.000, 0.000)
Rb (0.000, 0.500, 0.000)
Rb (0.000, 0.000, 0.500)
Rb (0.500, 0.000, 0.000)
Tc (0.500, 0.500, 0.500)

Values from the calculation:
- energy relative to the lowest polymorph listed for this composition (meV per atom) = 0
- final energy (Ry/atom) = -0.18157
- density of states at the Fermi level (states/eV/atom) = 1.254

9.
## RbTcSb3 (PBE)

Data for a relaxed structure of RbTcSb3.

a = 5.747 Å, b = 5.747 Å, c = 5.747 Å
α = 90.00°, β = 90.00°, γ = 90.00°
Fractional coordinates of all 5 atoms:
Sb (0.000, 0.500, 0.000)
Sb (0.500, 0.000, 0.000)
Sb (0.000, 0.000, 0.500)
Rb (0.000, 0.000, 0.000)
Tc (0.500, 0.500, 0.500)

Values from the calculation:
- energy relative to the lowest polymorph listed for this composition (meV per atom) = 2233
- final energy (Ry/atom) = -0.16703
- density of states at the Fermi level (states/eV/atom) = 1.718

10.
## RbTc3Sb (PBE)

Data for a relaxed structure of RbTc3Sb.

a = 5.108 Å, b = 5.108 Å, c = 5.108 Å
α = 90.00°, β = 90.00°, γ = 90.00°
Fractional coordinates of all 5 atoms:
Sb (0.000, 0.000, 0.000)
Tc (0.000, 0.000, 0.500)
Tc (0.000, 0.500, 0.000)
Tc (0.500, 0.000, 0.000)
Rb (0.500, 0.500, 0.500)

Values from the calculation:
- energy relative to the lowest polymorph listed for this composition (meV per atom) = 0
- final energy (Ry/atom) = -0.39902
- density of states at the Fermi level (states/eV/atom) = 0.983

11.
## RbTcSb2 (PBE)

Data for a relaxed structure of RbTcSb2.

a = 6.825 Å, b = 6.825 Å, c = 8.734 Å
α = 67.00°, β = 67.00°, γ = 90.00°
Fractional coordinates of all 8 atoms:
Sb (0.375, 0.124, 0.750)
Sb (0.874, 0.625, 0.250)
Sb (0.875, 0.126, 0.750)
Sb (0.876, 0.125, 0.250)
Rb (0.250, 0.750, 0.500)
Rb (0.500, 0.500, 0.000)
Tc (0.750, 0.250, 0.500)
Tc (0.000, 0.000, 0.000)

Values from the calculation:
- energy relative to the lowest polymorph listed for this composition (meV per atom) = 204
- final energy (Ry/atom) = -0.35153
- density of states at the Fermi level (states/eV/atom) = 0.000

12.
## RbTcSb2 (PBE)

Data for a relaxed structure of RbTcSb2.

a = 3.320 Å, b = 3.320 Å, c = 9.091 Å
α = 90.00°, β = 90.00°, γ = 90.00°
Fractional coordinates of all 4 atoms:
Tc (0.500, 0.500, 0.000)
Rb (0.500, 0.500, 0.500)
Sb (0.000, 0.000, 0.820)
Sb (0.000, 0.000, 0.180)

Values from the calculation:
- energy relative to the lowest polymorph listed for this composition (meV per atom) = 0
- final energy (Ry/atom) = -0.36656
- density of states at the Fermi level (states/eV/atom) = 0.083

> What is the final energy in the sixth record?

-0.29588 Ry/atom

> Number 12 is which compound?

RbTcSb2

> What is the final energy in the seventh record?

-0.33119 Ry/atom